A geometry-optimized HfInCo3 structure, computed with GGA-PBE.

Lattice parameters (Å, degrees): 4.556 4.556 4.556 90.00 90.00 90.00
Space group Pm-3m (No. 221)
One atom of each set of equivalent atoms:
1 Hf 0.000 0.000 0.000
2 In 0.500 0.500 0.500
3 Co 0.000 0.500 0.500

Total moment ... 2.89 μB/f.u.
Energy relative to the elements ... 1228 meV/atom
Excess energy over the best structure of this formula in the dataset ... 0.099 eV/atom
VASP energy ... -5.57 eV per atom
DOS(E_F) ... 4.9 states/eV/cell

A geometry-optimized Lu2CoBi structure, computed with GGA-PBE.

Lattice parameters (Å, degrees): 3.317 3.317 8.409 90.00 90.00 90.00
Space group P4/mmm (No. 123)
One atom of each set of equivalent atoms:
1 Lu 0.000 0.000 0.190
2 Co 0.500 0.500 0.000
3 Bi 0.500 0.500 0.500

Total moment ... 0.55 μB/f.u.
Energy relative to the elements ... -359 meV/atom
Excess energy over the best structure of this formula in the dataset ... 0.000 eV/atom
VASP energy ... -5.37 eV per atom
DOS(E_F) ... 2.6 states/eV/cell

A geometry-optimized CaPa5As6 structure, computed with GGA-PBE.

Lattice parameters (Å, degrees): 7.113 12.328 7.114 90.00 109.50 90.00
Space group C2/m (No. 12)
One atom of each set of equivalent atoms:
1 Ca 0.000 0.000 0.000
2 Pa 0.000 0.164 0.500
3 Pa 0.000 0.333 0.000
4 Pa 0.000 0.500 0.500
5 As 0.247 0.500 0.249
6 As 0.248 0.332 0.748

Total moment ... 0.00 μB/f.u.
Energy relative to the elements ... -1076 meV/atom
VASP energy ... -7.52 eV per atom
DOS(E_F) ... 32.8 states/eV/cell

A geometry-optimized RbNbIN2 structure, computed with GGA-PBE.

Lattice parameters (Å, degrees): 4.317 4.317 5.838 90.00 90.00 90.00
Space group P4/mmm (No. 123)
One atom of each set of equivalent atoms:
1 Rb 0.000 0.000 0.000
2 Nb 0.500 0.500 0.500
3 I 0.500 0.500 0.000
4 N 0.000 0.500 0.500

Total moment ... 0.95 μB/f.u.
Uncorrected formation energy ... 74.5 kJ/mol of formula units
Excess energy over the best structure of this formula in the dataset ... 0.000 eV/atom
VASP energy ... -5.69 eV per atom
DOS(E_F) ... 1.5 states/eV/cell

A geometry-optimized BiTe2Cl structure, computed with GGA-PBE.

Lattice parameters (Å, degrees): 3.4099 3.4099 33.7231 90.00 90.00 120.00
Space group R-3m (No. 166, hexagonal axes)
One atom of each set of equivalent atoms:
1 Bi 0.0000 0.0000 0.0000
2 Te 0.0000 0.0000 0.0935
3 Cl 0.0000 0.0000 0.5000

Total moment ... 0.00 μB/f.u.
Uncorrected formation energy ... 43.7 kJ/mol of formula units
Excess energy over the best structure of this formula in the dataset ... 0.403 eV/atom
VASP energy ... -2.89 eV per atom
DOS(E_F) ... 9.2 states/eV/cell

A geometry-optimized Pu2H2IBr structure, computed with GGA-PBE.

Lattice parameters (Å, degrees): 3.9132 3.9132 9.3439 90.00 90.00 120.00
Space group P-3m1 (No. 164)
One atom of each set of equivalent atoms:
1 Pu 0.3333 0.6667 0.2381
2 H 0.3333 0.6667 0.7593
3 I 0.0000 0.0000 0.5000
4 Br 0.0000 0.0000 0.0000

Total moment ... 12.00 μB/f.u.
VASP energy ... -7.15 eV per atom
DOS(E_F) ... 21.2 states/eV/cell